[1]
Compound: Zr4CdIn2
Source: the Alexandria database
Functional: GGA-PBE
Structure: relaxed

abc: 7.6847 7.6847 7.6365
angles: 115.91 115.91 23.88
Closest atoms and distances in Å follow each position.
Element x y z (fractional)
Zr 0.0765 0.0765 0.1993  5 Zr 2.88-3.21, 1 Cd 2.99, 3 In 3.12-3.18
Zr 0.3638 0.3638 0.0981  3 In 3.09-3.18, 8 Zr 3.18-3.45, 2 Cd 3.24
Zr 0.6362 0.6362 0.9019  3 In 3.09-3.18, 8 Zr 3.18-3.45, 2 Cd 3.24
Zr 0.9235 0.9235 0.8007  5 Zr 2.88-3.21, 1 Cd 2.99, 3 In 3.12-3.18
Cd 0.0000 0.0000 0.5000  6 Zr 2.99-3.24, 2 In 3.04, 2 Cd 3.18
In 0.2245 0.2245 0.6545  1 Cd 3.04, 6 Zr 3.09-3.18, 4 In 3.18-3.21
In 0.7755 0.7755 0.3455  1 Cd 3.04, 6 Zr 3.09-3.18, 4 In 3.18-3.21

***

[2]
Compound: LiEuDyCo
Source: the Alexandria database
Functional: GGA-PBE
Structure: relaxed

abc: 4.9473 4.9473 4.9473
angles: 60.00 60.00 60.00
Closest atoms and distances in Å follow each position.
Element x y z (fractional)
Li 0.0000 0.0000 0.0000  4 Dy 3.03, 4 Eu 3.03
Eu 0.2500 0.2500 0.2500  4 Co 3.03, 4 Li 3.03
Dy 0.7500 0.7500 0.7500  4 Co 3.03, 4 Li 3.03
Co 0.5000 0.5000 0.5000  4 Dy 3.03, 4 Eu 3.03

***

[3]
Compound: CeY3Ho6Er2
Source: the Alexandria database
Functional: GGA-PBE
Structure: relaxed

abc: 6.1234 6.1234 11.7267
angles: 94.99 94.99 119.97
Closest atoms and distances in Å follow each position.
Element x y z (fractional)
Ce 0.0000 0.0000 0.0000  6 Ho 3.51, 6 Er 3.54
Y 0.1675 0.8325 0.5000  6 Y 3.53-3.55, 6 Ho 3.55
Y 0.5000 0.5000 0.5000  6 Y 3.53-3.54, 6 Ho 3.55-3.56
Y 0.8325 0.1675 0.5000  6 Y 3.53-3.55, 6 Ho 3.55
Ho 0.0831 0.4144 0.2483  1 Ce 3.51, 6 Ho 3.51-3.55, 2 Er 3.52, 3 Y 3.55
Ho 0.2484 0.2484 0.7516  1 Ce 3.51, 6 Ho 3.52-3.55, 2 Er 3.52, 3 Y 3.55-3.56
Ho 0.4144 0.0831 0.2483  1 Ce 3.51, 6 Ho 3.51-3.55, 2 Er 3.52, 3 Y 3.55
Ho 0.5856 0.9169 0.7517  1 Ce 3.51, 6 Ho 3.51-3.55, 2 Er 3.52, 3 Y 3.55
Ho 0.7516 0.7516 0.2484  1 Ce 3.51, 6 Ho 3.52-3.55, 2 Er 3.52, 3 Y 3.55-3.56
Ho 0.9169 0.5856 0.7517  1 Ce 3.51, 6 Ho 3.51-3.55, 2 Er 3.52, 3 Y 3.55
Er 0.3334 0.6666 0.0000  6 Ho 3.52, 3 Er 3.53-3.54, 3 Ce 3.54
Er 0.6666 0.3334 0.0000  6 Ho 3.52, 3 Er 3.53-3.54, 3 Ce 3.54

***

ΔH_f (0 K) per entry: -5.5; 8.4; 3.8 kJ per mole of atoms
Calculated total energy per entry: -40.98; -23.55; -61.45 eV for the cell shown